## one
VASP calculation (PBE) on NaThZr after structural relaxation.

## Properties
calculated volume = 32.7 A^3/atom
SG = F-43m, No. 216

Cell lengths 5.1789, 5.1789, 5.1789 Å; angles 60.00, 60.00, 60.00 degrees
With the nearest neighbours (Å) after each atom.
Atoms (fractional coordinates):
Na: 0.0000 0.0000 0.0000  4 Th 3.17
Th: 0.2500 0.2500 0.2500  4 Zr 3.17, 4 Na 3.17
Zr: 0.5000 0.5000 0.5000  4 Th 3.17

***

## two
VASP calculation (PBE) on NaThZr after structural relaxation.

## Properties
calculated volume = 31.4 A^3/atom
SG = F-43m, No. 216

Cell lengths 5.1048, 5.1048, 5.1048 Å; angles 60.00, 60.00, 60.00 degrees
With the nearest neighbours (Å) after each atom.
Atoms (fractional coordinates):
Na: 0.0000 0.0000 0.0000  4 Zr 3.13
Th: 0.5000 0.5000 0.5000  4 Zr 3.13
Zr: 0.2500 0.2500 0.2500  4 Th 3.13, 4 Na 3.13

***

two takes first place; second place is 169 meV/atom up.

***

## one
VASP calculation (PBE) on NaUTl after structural relaxation.

## Properties
calculated volume = 32.1 A^3/atom
SG = F-43m, No. 216

Cell lengths 5.1438, 5.1438, 5.1438 Å; angles 60.00, 60.00, 60.00 degrees
With the nearest neighbours (Å) after each atom.
Atoms (fractional coordinates):
Na: 0.0000 0.0000 0.0000  4 Tl 3.15
U: 0.5000 0.5000 0.5000  4 Tl 3.15
Tl: 0.2500 0.2500 0.2500  4 Na 3.15, 4 U 3.15

***

## two
VASP calculation (PBE) on NaUTl after structural relaxation.

## Properties
calculated volume = 33.1 A^3/atom
SG = F-43m, No. 216

Cell lengths 5.1970, 5.1970, 5.1970 Å; angles 60.00, 60.00, 60.00 degrees
With the nearest neighbours (Å) after each atom.
Atoms (fractional coordinates):
Na: 0.0000 0.0000 0.0000  4 U 3.18
U: 0.2500 0.2500 0.2500  4 Tl 3.18, 4 Na 3.18
Tl: 0.5000 0.5000 0.5000  4 U 3.18

***

one takes first place; second place is 304 meV/atom up.

***

## one
VASP calculation (PBE) on NaTm after structural relaxation.

## Properties
calculated volume = 30.8 A^3/atom
SG = Fm-3m, No. 225

Cell lengths 4.4316, 4.4316, 4.4316 Å; angles 60.00, 60.00, 60.00 degrees
With the nearest neighbours (Å) after each atom.
Atoms (fractional coordinates):
Na: 0.0000 0.0000 0.0000  6 Tm 3.13
Tm: 0.5000 0.5000 0.5000  6 Na 3.13

***

## two
VASP calculation (PBE) on NaTm after structural relaxation.

## Properties
calculated volume = 43.9 A^3/atom
SG = F-43m, No. 216

Cell lengths 4.9906, 4.9906, 4.9906 Å; angles 60.00, 60.00, 60.00 degrees
With the nearest neighbours (Å) after each atom.
Atoms (fractional coordinates):
Na: 0.0000 0.0000 0.0000  4 Tm 3.06
Tm: 0.7500 0.7500 0.7500  4 Na 3.06

***

## three
VASP calculation (PBE) on NaTm after structural relaxation.

## Properties
calculated volume = 36.2 A^3/atom
SG = P6_3mc, No. 186

Cell lengths 5.1237, 5.1237, 6.3660 Å; angles 90.00, 90.00, 120.00 degrees
With the nearest neighbours (Å) after each atom.
Atoms (fractional coordinates):
Na: 0.3333 0.6667 0.0000  5 Tm 2.96-3.21
Na: 0.6667 0.3333 0.5000  5 Tm 2.96-3.21
Tm: 0.3333 0.6667 0.4965  5 Na 2.96-3.21
Tm: 0.6667 0.3333 0.9965  5 Na 2.96-3.21

***

one takes first place; second place is 478 meV/atom up.

***

## one
VASP calculation (PBE) on NaZrU after structural relaxation.

## Properties
calculated volume = 28.0 A^3/atom
SG = F-43m, No. 216

Cell lengths 4.9147, 4.9147, 4.9147 Å; angles 60.00, 60.00, 60.00 degrees
With the nearest neighbours (Å) after each atom.
Atoms (fractional coordinates):
Na: 0.0000 0.0000 0.0000  4 U 3.01
Zr: 0.5000 0.5000 0.5000  4 U 3.01
U: 0.2500 0.2500 0.2500  4 Zr 3.01, 4 Na 3.01

***

## two
VASP calculation (PBE) on NaZrU after structural relaxation.

## Properties
calculated volume = 27.5 A^3/atom
SG = F-43m, No. 216

Cell lengths 4.8837, 4.8837, 4.8837 Å; angles 60.00, 60.00, 60.00 degrees
With the nearest neighbours (Å) after each atom.
Atoms (fractional coordinates):
Na: 0.0000 0.0000 0.0000  4 Zr 2.99
Zr: 0.2500 0.2500 0.2500  4 Na 2.99, 4 U 2.99
U: 0.5000 0.5000 0.5000  4 Zr 2.99

***

two takes first place; second place is 169 meV/atom up.

***

## one
VASP calculation (PBE) on NaW2 after structural relaxation.

## Properties
calculated volume = 107.1 A^3/atom
SG = Fd-3m, No. 227

Cell lengths 9.6849, 9.6849, 9.6849 Å; angles 60.00, 60.00, 60.00 degrees
With the nearest neighbours (Å) after each atom.
Atoms (fractional coordinates):
Na: 0.1250 0.1250 0.1250  4 W 2.97
Na: 0.8750 0.8750 0.8750  4 W 2.97
W: 0.0000 0.0000 0.0000  2 Na 2.97
W: 0.0000 0.0000 0.5000  2 Na 2.97
W: 0.0000 0.5000 0.0000  2 Na 2.97
W: 0.5000 0.0000 0.0000  2 Na 2.97

***

## two
VASP calculation (PBE) on NaW2 after structural relaxation.

## Properties
calculated volume = 18.9 A^3/atom
SG = Fd-3m, No. 227

Cell lengths 5.4364, 5.4364, 5.4364 Å; angles 60.00, 60.00, 60.00 degrees
With the nearest neighbours (Å) after each atom.
Atoms (fractional coordinates):
Na: 0.1250 0.1250 0.1250  12 W 3.19, 4 Na 3.33
Na: 0.8750 0.8750 0.8750  12 W 3.19, 4 Na 3.33
W: 0.0000 0.5000 0.5000  6 W 2.72
W: 0.5000 0.0000 0.5000  6 W 2.72
W: 0.5000 0.5000 0.0000  6 W 2.72
W: 0.5000 0.5000 0.5000  6 W 2.72

***

two takes first place; second place is 4085 meV/atom up.

***

## one
VASP calculation (PBE) on NaW after structural relaxation.

## Properties
calculated volume = 29.9 A^3/atom
SG = Fm-3m, No. 225

Cell lengths 4.3906, 4.3906, 4.3906 Å; angles 60.00, 60.00, 60.00 degrees
With the nearest neighbours (Å) after each atom.
Atoms (fractional coordinates):
Na: 0.0000 0.0000 0.0000  6 W 3.10
W: 0.5000 0.5000 0.5000  6 Na 3.10

***

## two
VASP calculation (PBE) on NaW after structural relaxation.

## Properties
calculated volume = 18.6 A^3/atom
SG = P-6m2, No. 187

Cell lengths 2.7594, 2.7594, 5.6544 Å; angles 90.00, 90.00, 120.00 degrees
With the nearest neighbours (Å) after each atom.
Atoms (fractional coordinates):
Na: 0.0000 0.0000 0.0000  6 Na 2.76
W: 0.6667 0.3333 0.5000  6 W 2.76

***

## three
VASP calculation (PBE) on NaW after structural relaxation.

## Properties
calculated volume = 44.2 A^3/atom
SG = F-43m, No. 216

Cell lengths 4.9990, 4.9990, 4.9990 Å; angles 60.00, 60.00, 60.00 degrees
With the nearest neighbours (Å) after each atom.
Atoms (fractional coordinates):
Na: 0.0000 0.0000 0.0000  4 W 3.06
W: 0.7500 0.7500 0.7500  4 Na 3.06

***

two takes first place; second place is 2230 meV/atom up.

***

## one
VASP calculation (PBE) on NaZr2 after structural relaxation.

## Properties
calculated volume = 25.5 A^3/atom
SG = Cmcm, No. 63

Cell lengths 9.3788, 9.3788, 5.4255 Å; angles 90.00, 90.00, 161.31 degrees
With the nearest neighbours (Å) after each atom.
Atoms (fractional coordinates):
Na: 0.0463 0.9537 0.7500  4 Na 3.05-3.21
Na: 0.9537 0.0463 0.2500  4 Na 3.05-3.21
Zr: 0.2784 0.7216 0.2500  10 Zr 2.98-3.28
Zr: 0.3602 0.6398 0.7500  6 Zr 2.98-3.11
Zr: 0.6398 0.3602 0.2500  6 Zr 2.98-3.11
Zr: 0.7216 0.2784 0.7500  10 Zr 2.98-3.28

***

## two
VASP calculation (PBE) on NaZr2 after structural relaxation.

## Properties
calculated volume = 23.9 A^3/atom
SG = P2_1/m, No. 11

Cell lengths 8.6956, 5.1393, 13.0399 Å; angles 90.00, 100.12, 90.00 degrees
With the nearest neighbours (Å) after each atom.
Atoms (fractional coordinates):
Na: 0.0958 0.2500 0.2625  4 Na 3.09-3.22, 8 Zr 3.17-3.39
Na: 0.1042 0.2500 0.7591  6 Na 3.09-3.18, 5 Zr 3.22-3.44
Na: 0.2249 0.7500 0.8891  4 Na 3.00-3.15, 6 Zr 3.23-3.32
Na: 0.2361 0.7500 0.6605  4 Na 3.00-3.22, 6 Zr 3.21-3.34
Na: 0.7639 0.2500 0.3395  4 Na 3.00-3.22, 6 Zr 3.21-3.34
Na: 0.7751 0.2500 0.1109  4 Na 3.00-3.15, 6 Zr 3.23-3.32
Na: 0.8958 0.7500 0.2409  6 Na 3.09-3.18, 5 Zr 3.22-3.44
Na: 0.9042 0.7500 0.7375  4 Na 3.09-3.22, 8 Zr 3.17-3.39
Zr: 0.1011 0.2500 0.5117  6 Zr 3.10-3.23, 5 Na 3.22-3.37
Zr: 0.1079 0.2500 0.0079  7 Zr 3.13-3.33, 5 Na 3.24-3.40
Zr: 0.2313 0.7500 0.1379  7 Zr 3.01-3.22, 3 Na 3.23-3.36
Zr: 0.2344 0.7500 0.4141  7 Zr 3.08-3.23, 4 Na 3.21-3.38
Zr: 0.4136 0.2500 0.1748  8 Zr 3.01-3.26, 1 Na 3.17
Zr: 0.4336 0.2500 0.4377  10 Zr 3.08-3.40, 2 Na 3.34-3.39
Zr: 0.4536 0.2500 0.9310  8 Zr 3.03-3.33, 3 Na 3.24-3.32
Zr: 0.4714 0.2500 0.6870  8 Zr 3.08-3.23, 2 Na 3.26
Zr: 0.5286 0.7500 0.3130  8 Zr 3.08-3.23, 2 Na 3.26
Zr: 0.5464 0.7500 0.0690  8 Zr 3.03-3.33, 3 Na 3.24-3.32
Zr: 0.5664 0.7500 0.5623  10 Zr 3.08-3.40, 2 Na 3.34-3.39
Zr: 0.5864 0.7500 0.8252  8 Zr 3.01-3.26, 1 Na 3.17
Zr: 0.7656 0.2500 0.5859  7 Zr 3.08-3.23, 4 Na 3.21-3.38
Zr: 0.7687 0.2500 0.8621  7 Zr 3.01-3.22, 3 Na 3.23-3.36
Zr: 0.8921 0.7500 0.9921  7 Zr 3.13-3.33, 5 Na 3.24-3.40
Zr: 0.8989 0.7500 0.4883  6 Zr 3.10-3.23, 5 Na 3.22-3.37

***

one takes first place; second place is 103 meV/atom up.

***

## one
VASP calculation (PBE) on NaZr2 after structural relaxation.

## Properties
calculated volume = 25.9 A^3/atom
SG = Fd-3m, No. 227

Cell lengths 6.0338, 6.0338, 6.0338 Å; angles 60.00, 60.00, 60.00 degrees
With the nearest neighbours (Å) after each atom.
Atoms (fractional coordinates):
Na: 0.1250 0.1250 0.1250  12 Zr 3.54, 4 Na 3.69
Na: 0.8750 0.8750 0.8750  12 Zr 3.54, 4 Na 3.69
Zr: 0.0000 0.5000 0.5000  6 Zr 3.02
Zr: 0.5000 0.0000 0.5000  6 Zr 3.02
Zr: 0.5000 0.5000 0.0000  6 Zr 3.02
Zr: 0.5000 0.5000 0.5000  6 Zr 3.02

***

## two
VASP calculation (PBE) on NaZr2 after structural relaxation.

## Properties
calculated volume = 23.8 A^3/atom
SG = Cmcm, No. 63

Cell lengths 8.7114, 8.7114, 5.5681 Å; angles 90.00, 90.00, 160.25 degrees
With the nearest neighbours (Å) after each atom.
Atoms (fractional coordinates):
Na: 0.1120 0.8880 0.7500  2 Na 2.99, 10 Zr 3.26-3.34
Na: 0.8880 0.1120 0.2500  2 Na 2.99, 10 Zr 3.26-3.34
Zr: 0.2195 0.7805 0.2500  8 Zr 2.99-3.33, 4 Na 3.26-3.34
Zr: 0.4381 0.5619 0.7500  4 Zr 2.99-3.09, 6 Na 3.27-3.34
Zr: 0.5619 0.4381 0.2500  4 Zr 2.99-3.09, 6 Na 3.27-3.34
Zr: 0.7805 0.2195 0.7500  8 Zr 2.99-3.33, 4 Na 3.26-3.34

***

## three
VASP calculation (PBE) on NaZr2 after structural relaxation.

## Properties
calculated volume = 24.0 A^3/atom
SG = Pmmn, No. 59

Cell lengths 5.1272, 9.4094, 5.9695 Å; angles 90.00, 90.00, 90.00 degrees
With the nearest neighbours (Å) after each atom.
Atoms (fractional coordinates):
Na: 0.2500 0.0891 0.0775  3 Na 3.03-3.20, 7 Zr 3.22-3.35
Na: 0.2500 0.4109 0.0775  3 Na 3.03-3.20, 7 Zr 3.22-3.35
Na: 0.7500 0.5891 0.9225  3 Na 3.03-3.20, 7 Zr 3.22-3.35
Na: 0.7500 0.9109 0.9225  3 Na 3.03-3.20, 7 Zr 3.22-3.35
Zr: 0.2500 0.2500 0.5616  8 Zr 3.07-3.17, 4 Na 3.26-3.43
Zr: 0.2500 0.5863 0.5894  7 Zr 3.02-3.22, 3 Na 3.24-3.35
Zr: 0.2500 0.7500 0.1544  4 Zr 3.02-3.07, 6 Na 3.22-3.28
Zr: 0.2500 0.9137 0.5894  7 Zr 3.02-3.22, 3 Na 3.24-3.35
Zr: 0.7500 0.0863 0.4106  7 Zr 3.02-3.22, 3 Na 3.24-3.35
Zr: 0.7500 0.2500 0.8456  4 Zr 3.02-3.07, 6 Na 3.22-3.28
Zr: 0.7500 0.4137 0.4106  7 Zr 3.02-3.22, 3 Na 3.24-3.35
Zr: 0.7500 0.7500 0.4384  8 Zr 3.07-3.17, 4 Na 3.26-3.43

***

three takes first place; second place is 60 meV/atom up.

***

## one
VASP calculation (PBE) on NaZr2 after structural relaxation.

## Properties
calculated volume = 23.8 A^3/atom
SG = P-62m, No. 189

Cell lengths 5.5487, 5.5487, 5.3520 Å; angles 90.00, 90.00, 120.00 degrees
With the nearest neighbours (Å) after each atom.
Atoms (fractional coordinates):
Na: 0.3333 0.6667 0.0000  9 Zr 3.20-3.28, 3 Na 3.20
Na: 0.6667 0.3333 0.0000  9 Zr 3.20-3.28, 3 Na 3.20
Zr: 0.0000 0.0000 0.0000  6 Zr 3.20, 6 Na 3.20
Zr: 0.0000 0.3153 0.5000  8 Zr 3.03-3.29, 4 Na 3.28
Zr: 0.3153 0.0000 0.5000  8 Zr 3.03-3.29, 4 Na 3.28
Zr: 0.6847 0.6847 0.5000  8 Zr 3.03-3.29, 4 Na 3.28

***

## two
VASP calculation (PBE) on NaZr2 after structural relaxation.

## Properties
calculated volume = 82.8 A^3/atom
SG = Fd-3m, No. 227

Cell lengths 8.8885, 8.8885, 8.8885 Å; angles 60.00, 60.00, 60.00 degrees
With the nearest neighbours (Å) after each atom.
Atoms (fractional coordinates):
Na: 0.1250 0.1250 0.1250  4 Zr 2.72
Na: 0.8750 0.8750 0.8750  4 Zr 2.72
Zr: 0.0000 0.0000 0.0000  2 Na 2.72
Zr: 0.0000 0.0000 0.5000  2 Na 2.72
Zr: 0.0000 0.5000 0.0000  2 Na 2.72
Zr: 0.5000 0.0000 0.0000  2 Na 2.72

***

one takes first place; second place is 3099 meV/atom up.

***

## one
VASP calculation (PBE) on NdNb after structural relaxation.

## Properties
calculated volume = 24.6 A^3/atom
SG = P-6m2, No. 187

Cell lengths 3.2073, 3.2073, 5.5331 Å; angles 90.00, 90.00, 120.00 degrees
With the nearest neighbours (Å) after each atom.
Atoms (fractional coordinates):
Nd: 0.0000 0.0000 0.0000  6 Nd 3.21, 6 Nb 3.33
Nb: 0.3333 0.6667 0.5000  6 Nb 3.21, 6 Nd 3.33

***

## two
VASP calculation (PBE) on NdNb after structural relaxation.

## Properties
calculated volume = 27.1 A^3/atom
SG = Fm-3m, No. 225

Cell lengths 4.2482, 4.2482, 4.2482 Å; angles 60.00, 60.00, 60.00 degrees
With the nearest neighbours (Å) after each atom.
Atoms (fractional coordinates):
Nd: 0.0000 0.0000 0.0000  6 Nb 3.00
Nb: 0.5000 0.5000 0.5000  6 Nd 3.00

***

## three
VASP calculation (PBE) on NdNb after structural relaxation.

## Properties
calculated volume = 33.6 A^3/atom
SG = F-43m, No. 216

Cell lengths 4.5623, 4.5623, 4.5623 Å; angles 60.00, 60.00, 60.00 degrees
With the nearest neighbours (Å) after each atom.
Atoms (fractional coordinates):
Nd: 0.0000 0.0000 0.0000  4 Nb 2.79
Nb: 0.2500 0.2500 0.2500  4 Nd 2.79

***

one takes first place; second place is 691 meV/atom up.

***

## one
VASP calculation (PBE) on Nd2Nb after structural relaxation.

## Properties
calculated volume = 27.9 A^3/atom
SG = Fd-3m, No. 227

Cell lengths 6.1881, 6.1881, 6.1881 Å; angles 60.00, 60.00, 60.00 degrees
With the nearest neighbours (Å) after each atom.
Atoms (fractional coordinates):
Nd: 0.0000 0.0000 0.0000  6 Nd 3.09
Nd: 0.0000 0.0000 0.5000  6 Nd 3.09
Nd: 0.0000 0.5000 0.0000  6 Nd 3.09
Nd: 0.5000 0.0000 0.0000  6 Nd 3.09
Nb: 0.3750 0.3750 0.3750  12 Nd 3.63, 4 Nb 3.79
Nb: 0.6250 0.6250 0.6250  12 Nd 3.63, 4 Nb 3.79

***

## two
VASP calculation (PBE) on Nd2Nb after structural relaxation.

## Properties
calculated volume = 74.4 A^3/atom
SG = Fd-3m, No. 227

Cell lengths 8.5795, 8.5795, 8.5795 Å; angles 60.00, 60.00, 60.00 degrees
With the nearest neighbours (Å) after each atom.
Atoms (fractional coordinates):
Nd: 0.0000 0.0000 0.0000  2 Nb 2.63
Nd: 0.0000 0.0000 0.5000  2 Nb 2.63
Nd: 0.0000 0.5000 0.0000  2 Nb 2.63
Nd: 0.5000 0.0000 0.0000  2 Nb 2.63
Nb: 0.1250 0.1250 0.1250  4 Nd 2.63
Nb: 0.8750 0.8750 0.8750  4 Nd 2.63

***

one takes first place; second place is 837 meV/atom up.